## w
# GGA-PBEsol Mo2IrRu, optimized geometry
# Volume = 58 Å³/f.u.
# Magnetic moment = 0.0 μB/f.u.
data_Mo2IrRu
_chemical_formula_sum 'Mo2 Ir1 Ru1'
_space_group_name_H-M_alt 'P 1'
_space_group_IT_number 1
_space_group_name_Hall 'P 1'
_cell_length_a 2.731
_cell_length_b 3.853
_cell_length_c 5.473
_cell_angle_alpha 90.00
_cell_angle_beta 90.00
_cell_angle_gamma 90.00
loop_
_atom_site_label
_atom_site_fract_x
_atom_site_fract_y
_atom_site_fract_z
Mo1 0.000 0.000 0.247
Mo2 0.000 0.000 0.753
Ir1 0.500 0.500 0.500
Ru1 0.500 0.500 0.000

=====

## x
# GGA-PBEsol Mo2IrRu, optimized geometry
# Volume = 58 Å³/f.u.
# Magnetic moment = 0.0 μB/f.u.
data_Mo2IrRu
_chemical_formula_sum 'Mo2 Ir1 Ru1'
_space_group_name_H-M_alt 'P 1'
_space_group_IT_number 1
_space_group_name_Hall 'P 1'
_cell_length_a 2.737
_cell_length_b 2.737
_cell_length_c 7.690
_cell_angle_alpha 90.00
_cell_angle_beta 90.00
_cell_angle_gamma 90.00
loop_
_atom_site_label
_atom_site_fract_x
_atom_site_fract_y
_atom_site_fract_z
Mo1 0.000 0.000 0.247
Mo2 0.000 0.000 0.753
Ir1 0.500 0.500 0.500
Ru1 0.500 0.500 0.000

=====

## y
# GGA-PBEsol Mo2IrRu, optimized geometry
# Volume = 58 Å³/f.u.
# Magnetic moment = 0.0 μB/f.u.
data_Mo2IrRu
_chemical_formula_sum 'Mo2 Ir1 Ru1'
_space_group_name_H-M_alt 'P 1'
_space_group_IT_number 1
_space_group_name_Hall 'P 1'
_cell_length_a 2.761
_cell_length_b 4.391
_cell_length_c 4.750
_cell_angle_alpha 90.00
_cell_angle_beta 90.00
_cell_angle_gamma 90.00
loop_
_atom_site_label
_atom_site_fract_x
_atom_site_fract_y
_atom_site_fract_z
Mo1 0.000 0.000 0.000
Mo2 0.000 0.500 0.349
Ir1 0.500 0.000 0.499
Ru1 0.500 0.500 0.856

=====

What should be chosen as the most stable of them? Choose y.

=====

## w
# GGA-PBEsol Sb2MoIr, optimized geometry
# Volume = 74 Å³/f.u.
# Magnetic moment = 0.0 μB/f.u.
data_Sb2MoIr
_chemical_formula_sum 'Sb4 Mo2 Ir2'
_space_group_name_H-M_alt 'P 1'
_space_group_IT_number 1
_space_group_name_Hall 'P 1'
_cell_length_a 6.313
_cell_length_b 8.768
_cell_length_c 3.025
_cell_angle_alpha 90.00
_cell_angle_beta 117.54
_cell_angle_gamma 90.00
loop_
_atom_site_label
_atom_site_fract_x
_atom_site_fract_y
_atom_site_fract_z
Sb1 0.250 0.250 0.000
Sb2 0.250 0.750 0.000
Sb3 0.750 0.250 0.000
Sb4 0.750 0.750 0.000
Mo1 0.000 0.000 0.500
Mo2 0.500 0.500 0.500
Ir1 0.000 0.500 0.500
Ir2 0.500 0.000 0.500

=====

## x
# GGA-PBEsol Sb2MoIr, optimized geometry
# Volume = 76 Å³/f.u.
# Magnetic moment = 0.0 μB/f.u.
data_Sb2MoIr
_chemical_formula_sum 'Sb4 Mo2 Ir2'
_space_group_name_H-M_alt 'P 1'
_space_group_IT_number 1
_space_group_name_Hall 'P 1'
_cell_length_a 3.611
_cell_length_b 3.646
_cell_length_c 11.515
_cell_angle_alpha 90.00
_cell_angle_beta 90.00
_cell_angle_gamma 90.00
loop_
_atom_site_label
_atom_site_fract_x
_atom_site_fract_y
_atom_site_fract_z
Sb1 0.000 0.000 0.000
Sb2 0.000 0.500 0.260
Sb3 0.500 0.000 0.760
Sb4 0.500 0.500 0.500
Mo1 0.000 0.000 0.586
Mo2 0.500 0.500 0.086
Ir1 0.000 0.500 0.829
Ir2 0.500 0.000 0.329

=====

## y
# GGA-PBEsol Sb2MoIr, optimized geometry
# Volume = 70 Å³/f.u.
# Magnetic moment = 0.0 μB/f.u.
data_Sb2MoIr
_chemical_formula_sum 'Sb2 Mo1 Ir1'
_space_group_name_H-M_alt 'P 1'
_space_group_IT_number 1
_space_group_name_Hall 'P 1'
_cell_length_a 3.324
_cell_length_b 3.324
_cell_length_c 6.343
_cell_angle_alpha 90.00
_cell_angle_beta 90.00
_cell_angle_gamma 90.00
loop_
_atom_site_label
_atom_site_fract_x
_atom_site_fract_y
_atom_site_fract_z
Sb1 0.000 0.000 0.246
Sb2 0.000 0.000 0.754
Mo1 0.500 0.500 0.000
Ir1 0.500 0.500 0.500

=====

What should be chosen as the most stable of them? Choose y.

=====

## w
# GGA-PBEsol SrMoIr2, optimized geometry
# Volume = 69 Å³/f.u.
# Magnetic moment = 0.0 μB/f.u.
data_SrMoIr2
_chemical_formula_sum 'Sr2 Mo2 Ir4'
_space_group_name_H-M_alt 'P 1'
_space_group_IT_number 1
_space_group_name_Hall 'P 1'
_cell_length_a 6.283
_cell_length_b 7.638
_cell_length_c 2.864
_cell_angle_alpha 90.00
_cell_angle_beta 90.00
_cell_angle_gamma 90.00
loop_
_atom_site_label
_atom_site_fract_x
_atom_site_fract_y
_atom_site_fract_z
Sr1 0.000 0.000 0.000
Sr2 0.500 0.500 0.000
Mo1 0.000 0.500 0.000
Mo2 0.500 0.000 0.000
Ir1 0.250 0.250 0.500
Ir2 0.250 0.750 0.500
Ir3 0.750 0.250 0.500
Ir4 0.750 0.750 0.500

=====

## x
# GGA-PBEsol SrMoIr2, optimized geometry
# Volume = 76 Å³/f.u.
# Magnetic moment = 0.0 μB/f.u.
data_SrMoIr2
_chemical_formula_sum 'Sr1 Mo1 Ir2'
_space_group_name_H-M_alt 'P 1'
_space_group_IT_number 1
_space_group_name_Hall 'P 1'
_cell_length_a 2.764
_cell_length_b 3.977
_cell_length_c 6.936
_cell_angle_alpha 90.00
_cell_angle_beta 90.00
_cell_angle_gamma 90.00
loop_
_atom_site_label
_atom_site_fract_x
_atom_site_fract_y
_atom_site_fract_z
Sr1 0.000 0.000 0.000
Mo1 0.500 0.500 0.637
Ir1 0.000 0.000 0.489
Ir2 0.500 0.500 0.281

=====

## y
# GGA-PBEsol SrMoIr2, optimized geometry
# Volume = 68 Å³/f.u.
# Magnetic moment = 0.0 μB/f.u.
data_SrMoIr2
_chemical_formula_sum 'Sr4 Mo4 Ir8'
_space_group_name_H-M_alt 'P 1'
_space_group_IT_number 1
_space_group_name_Hall 'P 1'
_cell_length_a 6.467
_cell_length_b 6.467
_cell_length_c 6.467
_cell_angle_alpha 90.00
_cell_angle_beta 90.00
_cell_angle_gamma 90.00
loop_
_atom_site_label
_atom_site_fract_x
_atom_site_fract_y
_atom_site_fract_z
Sr1 0.000 0.000 0.000
Sr2 0.000 0.500 0.500
Sr3 0.500 0.000 0.500
Sr4 0.500 0.500 0.000
Mo1 0.250 0.250 0.250
Mo2 0.250 0.750 0.750
Mo3 0.750 0.250 0.750
Mo4 0.750 0.750 0.250
Ir1 0.000 0.000 0.500
Ir2 0.000 0.500 0.000
Ir3 0.250 0.250 0.750
Ir4 0.250 0.750 0.250
Ir5 0.500 0.000 0.000
Ir6 0.500 0.500 0.500
Ir7 0.750 0.250 0.250
Ir8 0.750 0.750 0.750

=====

What should be chosen as the most stable of them? Choose x.

=====

## w
# GGA-PBEsol SrMo2Ir, optimized geometry
# Volume = 69 Å³/f.u.
# Magnetic moment = 0.0 μB/f.u.
data_SrMo2Ir
_chemical_formula_sum 'Sr2 Mo4 Ir2'
_space_group_name_H-M_alt 'P 1'
_space_group_IT_number 1
_space_group_name_Hall 'P 1'
_cell_length_a 5.489
_cell_length_b 9.544
_cell_length_c 2.769
_cell_angle_alpha 90.00
_cell_angle_beta 107.22
_cell_angle_gamma 90.00
loop_
_atom_site_label
_atom_site_fract_x
_atom_site_fract_y
_atom_site_fract_z
Sr1 0.000 0.000 0.000
Sr2 0.500 0.500 0.000
Mo1 0.250 0.250 0.500
Mo2 0.250 0.750 0.500
Mo3 0.750 0.250 0.500
Mo4 0.750 0.750 0.500
Ir1 0.000 0.500 0.000
Ir2 0.500 0.000 0.000

=====

## x
# GGA-PBEsol SrMo2Ir, optimized geometry
# Volume = 70 Å³/f.u.
# Magnetic moment = 0.0 μB/f.u.
data_SrMo2Ir
_chemical_formula_sum 'Sr3 Mo6 Ir3'
_space_group_name_H-M_alt 'P 1'
_space_group_IT_number 1
_space_group_name_Hall 'P 1'
_cell_length_a 2.839
_cell_length_b 2.839
_cell_length_c 30.195
_cell_angle_alpha 90.00
_cell_angle_beta 90.00
_cell_angle_gamma 120.00
loop_
_atom_site_label
_atom_site_fract_x
_atom_site_fract_y
_atom_site_fract_z
Sr1 0.000 0.000 0.000
Sr2 0.333 0.667 0.667
Sr3 0.667 0.333 0.333
Mo1 0.000 0.000 0.237
Mo2 0.000 0.000 0.493
Mo3 0.333 0.667 0.159
Mo4 0.333 0.667 0.904
Mo5 0.667 0.333 0.570
Mo6 0.667 0.333 0.826
Ir1 0.000 0.000 0.757
Ir2 0.333 0.667 0.423
Ir3 0.667 0.333 0.090

=====

What should be chosen as the most stable of them? Choose x.

=====

## w
# GGA-PBEsol SrMo2Ir, optimized geometry
# Volume = 69 Å³/f.u.
# Magnetic moment = 0.0 μB/f.u.
data_SrMo2Ir
_chemical_formula_sum 'Sr4 Mo8 Ir4'
_space_group_name_H-M_alt 'P 1'
_space_group_IT_number 1
_space_group_name_Hall 'P 1'
_cell_length_a 6.525
_cell_length_b 6.525
_cell_length_c 6.525
_cell_angle_alpha 90.00
_cell_angle_beta 90.00
_cell_angle_gamma 90.00
loop_
_atom_site_label
_atom_site_fract_x
_atom_site_fract_y
_atom_site_fract_z
Sr1 0.000 0.000 0.000
Sr2 0.000 0.500 0.500
Sr3 0.500 0.000 0.500
Sr4 0.500 0.500 0.000
Mo1 0.000 0.000 0.500
Mo2 0.000 0.500 0.000
Mo3 0.250 0.250 0.750
Mo4 0.250 0.750 0.250
Mo5 0.500 0.000 0.000
Mo6 0.500 0.500 0.500
Mo7 0.750 0.250 0.250
Mo8 0.750 0.750 0.750
Ir1 0.250 0.250 0.250
Ir2 0.250 0.750 0.750
Ir3 0.750 0.250 0.750
Ir4 0.750 0.750 0.250

=====

## x
# GGA-PBEsol SrMo2Ir, optimized geometry
# Volume = 73 Å³/f.u.
# Magnetic moment = 0.0 μB/f.u.
data_SrMo2Ir
_chemical_formula_sum 'Sr1 Mo2 Ir1'
_space_group_name_H-M_alt 'P 1'
_space_group_IT_number 1
_space_group_name_Hall 'P 1'
_cell_length_a 3.870
_cell_length_b 3.870
_cell_length_c 4.850
_cell_angle_alpha 90.00
_cell_angle_beta 90.00
_cell_angle_gamma 90.00
loop_
_atom_site_label
_atom_site_fract_x
_atom_site_fract_y
_atom_site_fract_z
Sr1 0.000 0.000 0.000
Mo1 0.000 0.500 0.500
Mo2 0.500 0.000 0.500
Ir1 0.500 0.500 0.000

=====

What should be chosen as the most stable of them? Choose w.

=====

## w
# GGA-PBEsol TaMoIr2, optimized geometry
# Volume = 61 Å³/f.u.
# Magnetic moment = 0.0 μB/f.u.
data_TaMoIr2
_chemical_formula_sum 'Ta2 Mo2 Ir4'
_space_group_name_H-M_alt 'P 1'
_space_group_IT_number 1
_space_group_name_Hall 'P 1'
_cell_length_a 9.174
_cell_length_b 2.798
_cell_length_c 4.806
_cell_angle_alpha 90.00
_cell_angle_beta 99.02
_cell_angle_gamma 90.00
loop_
_atom_site_label
_atom_site_fract_x
_atom_site_fract_y
_atom_site_fract_z
Ta1 0.000 0.000 0.000
Ta2 0.500 0.500 0.000
Mo1 0.266 0.500 0.310
Mo2 0.766 0.000 0.310
Ir1 0.009 0.500 0.500
Ir2 0.253 0.000 0.794
Ir3 0.509 0.000 0.500
Ir4 0.753 0.500 0.794

=====

## x
# GGA-PBEsol TaMoIr2, optimized geometry
# Volume = 60 Å³/f.u.
# Magnetic moment = 0.0 μB/f.u.
data_TaMoIr2
_chemical_formula_sum 'Ta1 Mo1 Ir2'
_space_group_name_H-M_alt 'P 1'
_space_group_IT_number 1
_space_group_name_Hall 'P 1'
_cell_length_a 2.784
_cell_length_b 4.494
_cell_length_c 4.817
_cell_angle_alpha 90.00
_cell_angle_beta 90.00
_cell_angle_gamma 90.00
loop_
_atom_site_label
_atom_site_fract_x
_atom_site_fract_y
_atom_site_fract_z
Ta1 0.000 0.000 0.000
Mo1 0.000 0.500 0.362
Ir1 0.500 0.000 0.498
Ir2 0.500 0.500 0.859

=====

## y
# GGA-PBEsol TaMoIr2, optimized geometry
# Volume = 60 Å³/f.u.
# Magnetic moment = 0.0 μB/f.u.
data_TaMoIr2
_chemical_formula_sum 'Ta1 Mo1 Ir2'
_space_group_name_H-M_alt 'P 1'
_space_group_IT_number 1
_space_group_name_Hall 'P 1'
_cell_length_a 3.939
_cell_length_b 3.939
_cell_length_c 3.874
_cell_angle_alpha 90.00
_cell_angle_beta 90.00
_cell_angle_gamma 90.00
loop_
_atom_site_label
_atom_site_fract_x
_atom_site_fract_y
_atom_site_fract_z
Ta1 0.000 0.000 0.000
Mo1 0.500 0.500 0.000
Ir1 0.000 0.500 0.500
Ir2 0.500 0.000 0.500

=====

## z
# GGA-PBEsol TaMoIr2, optimized geometry
# Volume = 60 Å³/f.u.
# Magnetic moment = 0.0 μB/f.u.
data_TaMoIr2
_chemical_formula_sum 'Ta2 Mo2 Ir4'
_space_group_name_H-M_alt 'P 1'
_space_group_IT_number 1
_space_group_name_Hall 'P 1'
_cell_length_a 3.939
_cell_length_b 3.939
_cell_length_c 7.752
_cell_angle_alpha 90.00
_cell_angle_beta 90.00
_cell_angle_gamma 90.00
loop_
_atom_site_label
_atom_site_fract_x
_atom_site_fract_y
_atom_site_fract_z
Ta1 0.000 0.000 0.000
Ta2 0.500 0.500 0.500
Mo1 0.000 0.000 0.500
Mo2 0.500 0.500 0.000
Ir1 0.000 0.500 0.250
Ir2 0.000 0.500 0.750
Ir3 0.500 0.000 0.250
Ir4 0.500 0.000 0.750

=====

What should be chosen as the most stable of them? Choose y.